# 1
Th2HgIrPd: optimized geometry, PBE.

Values from the calculation:
Crystal system: monoclinic
Volume (Å³/cell): 250.7
ΔE_f (kJ/mol of atoms): -59

Unit cell a=7.9078 b=4.2544 c=8.2200 alpha=90.00 beta=114.95 gamma=90.00
With the nearest neighbours (Å) after each atom.
Space group P2_1/m (No. 11)
Unique sites:
1 Th 0.0464 0.2500 0.3122  3 Ir 2.92-3.13, 3 Pd 3.10-3.13
2 Th 0.3453 0.7500 0.1220  2 Ir 2.83, 1 Pd 2.84
3 Hg 0.3750 0.7500 0.5479  2 Pd 2.95, 2 Hg 3.22, 2 Th 3.28
4 Ir 0.0962 0.2500 0.9546  1 Pd 2.68, 4 Th 2.83-2.92, 2 Ir 2.89
5 Pd 0.2580 0.2500 0.7269  1 Ir 2.68, 1 Th 2.84, 2 Hg 2.95


# 2
Ba2MnZn: optimized geometry, PBE.

Values from the calculation:
Crystal system: tetragonal
Volume (Å³/cell): 137.9
ΔE_f (kJ/mol of atoms): 26

Unit cell a=5.8081 b=5.8081 c=4.0877 alpha=90.00 beta=90.00 gamma=90.00
With the nearest neighbours (Å) after each atom.
Space group P4/mmm (No. 123)
Unique sites:
1 Ba 0.0000 0.5000 0.0000  4 Mn 3.55, 4 Zn 3.55
2 Mn 0.0000 0.0000 0.5000  8 Ba 3.55
3 Zn 0.5000 0.5000 0.5000  8 Ba 3.55


# 3
CaZrP2Au: optimized geometry, PBE.

Values from the calculation:
Crystal system: tetragonal
Volume (Å³/cell): 132.0
ΔE_f (kJ/mol of atoms): -33

Unit cell a=4.9873 b=4.9873 c=5.3062 alpha=90.00 beta=90.00 gamma=90.00
With the nearest neighbours (Å) after each atom.
Space group P4/mmm (No. 123)
Unique sites:
1 Ca 0.0000 0.0000 0.0000  4 Au 3.53, 8 P 3.64
2 Zr 0.5000 0.5000 0.5000  4 P 2.49, 2 Au 2.65
3 P 0.0000 0.5000 0.5000  2 Zr 2.49
4 Au 0.5000 0.5000 0.0000  2 Zr 2.65


# 4
RbCaNb: optimized geometry, PBE.

Values from the calculation:
Crystal system: hexagonal
Volume (Å³/cell): 271.9
ΔE_f (kJ/mol of atoms): 96

Unit cell a=6.0394 b=6.0394 c=8.6087 alpha=90.00 beta=90.00 gamma=120.00
With the nearest neighbours (Å) after each atom.
Space group P-6m2 (No. 187)
Unique sites:
1 Rb 0.0000 0.0000 0.0000  6 Nb 3.65, 6 Ca 3.90
2 Rb 0.0000 0.0000 0.5000  2 Rb 4.30, 6 Ca 4.32, 6 Nb 4.75
3 Ca 0.6667 0.3333 0.2037  1 Ca 3.51, 3 Nb 3.55, 3 Rb 3.90
4 Nb 0.3333 0.6667 0.1248  1 Nb 2.15


# 5
LiRePt: optimized geometry, PBE.

Values from the calculation:
Crystal system: monoclinic
Volume (Å³/cell): 177.5
ΔE_f (kJ/mol of atoms): -4

Unit cell a=9.2571 b=3.6325 c=5.7458 alpha=90.00 beta=113.24 gamma=90.00
With the nearest neighbours (Å) after each atom.
Space group C2/m (No. 12)
Unique sites:
1 Li 0.1625 0.0000 0.3440  2 Li 2.62, 5 Pt 2.67-2.89, 4 Re 2.81-2.89
2 Re 0.1769 0.0000 0.8650  2 Re 2.43
3 Pt 0.0000 0.5000 0.0000  4 Li 2.67, 6 Re 2.75-2.78, 2 Pt 2.87
4 Pt 0.0000 0.5000 0.5000  6 Li 2.73-2.89, 4 Re 2.77, 2 Pt 2.87


# 6
Nd4Hg: optimized geometry, PBE.

Values from the calculation:
Crystal system: monoclinic
Volume (Å³/cell): 332.9
ΔE_f (kJ/mol of atoms): -6

Unit cell a=6.4784 b=9.0669 c=6.1201 alpha=90.00 beta=112.16 gamma=90.00
With the nearest neighbours (Å) after each atom.
Space group P2/c (No. 13)
Unique sites:
1 Nd 0.1923 0.1558 0.0596  2 Hg 3.18-3.24
2 Nd 0.2482 0.4212 0.5142  1 Hg 3.19, 4 Nd 3.38-3.46
3 Hg 0.5000 0.1255 0.7500  6 Nd 3.18-3.24


# 7
Pr2NdDyHo: optimized geometry, PBE.

Values from the calculation:
Crystal system: monoclinic
Volume (Å³/cell): 350.7
ΔE_f (kJ/mol of atoms): 26

Unit cell a=8.2492 b=6.8197 c=6.2343 alpha=90.00 beta=90.21 gamma=90.00
With the nearest neighbours (Å) after each atom.
Space group P2/c (No. 13)
Unique sites:
1 Pr 0.1954 0.1920 0.2515  1 Dy 3.12, 1 Pr 3.22
2 Nd 0.5000 0.5000 0.0000  2 Nd 3.12, 2 Dy 3.26
3 Dy 0.5000 0.0803 0.7500  2 Pr 3.12, 2 Nd 3.26, 2 Dy 3.30
4 Ho 0.0000 0.3447 0.7500  6 Pr 3.55-3.66, 2 Ho 3.77


# 8
Ca2HoInO: optimized geometry, PBE.

Values from the calculation:
Crystal system: tetragonal
Volume (Å³/cell): 112.7
E_form (uncorrected) (kJ/mol of atoms): -137.18

Unit cell a=4.8267 b=4.8267 c=4.8393 alpha=90.00 beta=90.00 gamma=90.00
With the nearest neighbours (Å) after each atom.
Space group P4/mmm (No. 123)
Unique sites:
1 Ca 0.0000 0.5000 0.0000  2 O 2.41
2 Ho 0.0000 0.0000 0.5000  2 O 2.42
3 In 0.5000 0.5000 0.5000  4 Ho 3.41, 8 Ca 3.42
4 O 0.0000 0.0000 0.0000  4 Ca 2.41, 2 Ho 2.42


# 9
SrHg3Pt: optimized geometry, PBE.

Values from the calculation:
Crystal system: cubic
Volume (Å³/cell): 148.1
ΔE_f (kJ/mol of atoms): -26

Unit cell a=5.2912 b=5.2912 c=5.2912 alpha=90.00 beta=90.00 gamma=90.00
With the nearest neighbours (Å) after each atom.
Space group Pm-3m (No. 221)
Unique sites:
1 Sr 0.0000 0.0000 0.0000  12 Hg 3.74
2 Hg 0.0000 0.5000 0.5000  2 Pt 2.65
3 Pt 0.5000 0.5000 0.5000  6 Hg 2.65


# 10
Tl5In3Pb2: optimized geometry, PBE.

Values from the calculation:
Crystal system: monoclinic
Volume (Å³/cell): 1222.9
ΔE_f (kJ/mol of atoms): 4

Unit cell a=14.1870 b=16.2872 c=5.6065 alpha=90.00 beta=109.27 gamma=90.00
With the nearest neighbours (Å) after each atom.
Space group C2/c (No. 15)
Unique sites:
1 Tl 0.0000 0.0565 0.2500  4 Tl 3.35-3.36, 6 In 3.42-3.64, 2 Pb 3.54
2 Tl 0.1275 0.3602 0.8808  2 Pb 3.33-3.35, 5 In 3.38-3.67, 4 Tl 3.42-3.61
3 Tl 0.2497 0.0575 0.5091  6 Tl 3.36-3.61, 4 In 3.36-3.69, 2 Pb 3.54-3.58
4 In 0.0000 0.4451 0.2500  2 In 3.33, 8 Tl 3.36-3.67, 2 Pb 3.61
5 In 0.1209 0.1427 0.8761  1 In 3.25, 2 Pb 3.29-3.30, 5 Tl 3.38-3.63
6 Pb 0.1241 0.2485 0.3798  3 In 3.29-3.61, 5 Tl 3.33-3.58, 2 Pb 3.34-3.38


# 11
SrInBi: optimized geometry, PBE.

Values from the calculation:
Crystal system: orthorhombic
Volume (Å³/cell): 436.3
ΔE_f (kJ/mol of atoms): -53

Unit cell a=8.3876 b=5.0329 c=10.3344 alpha=90.00 beta=90.00 gamma=90.00
With the nearest neighbours (Å) after each atom.
Space group Pnma (No. 62)
Unique sites:
1 Sr 0.1477 0.2500 0.1690  5 Bi 3.46-3.52, 3 In 3.78-3.86
2 In 0.0114 0.7500 0.4297  2 In 2.91, 2 Bi 3.01-3.08
3 Bi 0.1411 0.2500 0.8339  2 In 3.01-3.08


# 12
In3PdS: optimized geometry, PBE.

Values from the calculation:
Crystal system: cubic
Volume (Å³/cell): 136.5
E_form (uncorrected) (kJ/mol of atoms): -10.88

Unit cell a=5.1489 b=5.1489 c=5.1489 alpha=90.00 beta=90.00 gamma=90.00
With the nearest neighbours (Å) after each atom.
Space group Pm-3m (No. 221)
Unique sites:
1 In 0.0000 0.0000 0.5000  2 Pd 2.57
2 Pd 0.0000 0.0000 0.0000  6 In 2.57
3 S 0.5000 0.5000 0.5000  12 In 3.64


Calculated total energy
In order: -64.52; -13.22; -26.37; -20.09; -82.05; -39.39; -44.36; -23.39; -9.97; -108.29; -39.83; -18.10
Unit: eV per cell